NaYSiNi | OQMD | GGA-PBE | optimized geometry; SG = F-43m, No. 216; magnetization = 0.109 μB/f.u.; total DFT energy (no corrections) = -4.719 eV per atom; excess energy over the best structure of this formula in the dataset = 0.1476 eV/atom
1.0
0.0000 3.3772 3.3772
3.3772 0.0000 3.3772
3.3772 3.3772 0.0000
Na Y Si Ni
1 1 1 1
Cartesian
0.0000 0.0000 0.0000
3.3772 3.3772 3.3772
1.6886 1.6886 1.6886
5.0659 5.0659 5.0659

BaGdAgTe2S | OQMD | GGA-PBE | optimized geometry; SG = Cmcm, No. 63; magnetization = 0.004 μB/f.u.; total DFT energy (no corrections) = -4.686 eV per atom
1.0
2.2104 -7.5059 0.0000
2.2104 7.5059 0.0000
0.0000 0.0000 10.8370
Ba Gd Ag Te S
2 2 2 4 2
Cartesian
2.2104 4.0858 8.1278
2.2104 -4.0858 2.7093
2.2104 0.0000 0.0000
2.2104 0.0000 5.4185
2.2104 7.1765 2.7093
2.2104 -7.1765 8.1278
2.2104 5.3629 0.5820
2.2104 5.3629 4.8366
2.2104 -5.3629 6.0005
2.2104 -5.3629 10.2551
2.2104 1.0363 2.7093
2.2104 -1.0363 8.1278

SrScAuSe3 | OQMD | GGA-PBE | optimized geometry; SG = C2/m, No. 12; magnetization = 0.002 μB/f.u.; total DFT energy (no corrections) = -4.952 eV per atom; excess energy over the best structure of this formula in the dataset = 0.0495 eV/atom
1.0
8.9483 -1.9883 0.0000
8.9483 1.9883 0.0000
-1.5194 0.0000 8.1977
Sr Sc Au Se
2 2 2 6
Cartesian
2.1933 0.0000 0.6671
14.1839 0.0000 7.5306
2.0731 0.0000 4.8530
14.3041 0.0000 3.3448
7.6957 0.0000 2.3426
8.6814 0.0000 5.8552
-0.7597 0.0000 4.0989
5.2887 0.0000 1.4148
4.8373 0.0000 5.1341
8.9483 0.0000 0.0000
11.5399 0.0000 3.0636
11.0884 0.0000 6.7829

Tl2NiH6Pt | OQMD | GGA-PBE | optimized geometry; SG = Fm-3m, No. 225; magnetization = 0.021 μB/f.u.; total DFT energy (no corrections) = -3.443 eV per atom
1.0
0.0000 3.7572 3.7572
3.7572 0.0000 3.7572
3.7572 3.7572 0.0000
Tl Ni H Pt
2 1 6 1
Cartesian
1.8786 1.8786 1.8786
5.6358 5.6358 5.6358
0.0000 0.0000 0.0000
3.7572 3.7572 1.9356
3.7572 1.9356 3.7572
5.5788 3.7572 3.7572
1.9356 3.7572 3.7572
3.7572 5.5788 3.7572
3.7572 3.7572 5.5788
3.7572 3.7572 3.7572

PrNdSm2Se3O4 | OQMD | GGA-PBE | optimized geometry; SG = Amm2, No. 38; magnetization = 0.004 μB/f.u.; total DFT energy (no corrections) = -7.238 eV per atom
1.0
8.4135 0.0000 0.0000
0.0000 1.9978 6.4448
0.0000 -1.9978 6.4448
Pr Nd Sm Se O
1 1 2 3 4
Cartesian
0.0000 0.0000 0.0000
4.2068 0.0000 12.6897
2.2129 0.0000 8.5919
6.2006 0.0000 8.5919
1.2700 0.0000 4.3565
4.2068 0.0000 3.8197
7.1435 0.0000 4.3565
0.0000 0.0000 7.7638
2.1650 0.0000 0.9511
4.2068 0.0000 7.3958
6.2485 0.0000 0.9511

ErOsNO | OQMD | GGA-PBE | optimized geometry; SG = P4/nmm, No. 129; magnetization = 0.023 μB/f.u.; total DFT energy (no corrections) = -7.955 eV per atom; excess energy over the best structure of this formula in the dataset = 0.7721 eV/atom
1.0
4.8709 0.0000 0.0000
0.0000 4.8709 0.0000
0.0000 0.0000 4.2165
Er Os N O
2 2 2 2
Cartesian
1.2177 3.6531 0.0000
3.6531 1.2177 0.0000
1.2177 1.2177 2.0915
3.6531 3.6531 2.1249
1.2177 1.2177 4.1987
3.6531 3.6531 0.0178
1.2177 3.6531 2.1082
3.6531 1.2177 2.1082